A | Material: BC2
Method: DFT, PBE
State: relaxed

```
BC2
1.0
-6.3210 0.8108 2.0763
-6.2598 -2.8227 -1.8738
6.6614 0.3728 2.4802
B C
4 8
Direct
0.9894 0.3324 0.6570 B
0.5393 0.1708 0.3685 B
0.0857 0.1209 0.9649 B
0.6356 0.9593 0.6764 B
0.5912 0.2902 0.3010 C
0.0338 0.0014 0.0324 C
0.4916 0.8293 0.6623 C
0.1297 0.7874 0.3424 C
0.9911 0.6704 0.3207 C
0.6339 0.6213 0.0127 C
0.4953 0.5043 0.9910 C
0.1334 0.4624 0.6710 C
```

## Properties
Crystal system: monoclinic
M_tot, Bohr magnetons per cell: 0.00
Space-group type: C2/m, No. 12


B | Material: BC2
Method: DFT, PBE
State: relaxed

```
BC2
1.0
3.9321 -0.0080 -5.3519
-0.5841 2.5491 -6.6629
0.4169 -0.0474 7.1454
B C
4 8
Direct
0.9729 0.3322 0.6407 B
0.5034 0.1554 0.3479 B
0.1354 0.1453 0.9902 B
0.0306 0.0020 0.0287 B
0.5757 0.2885 0.2872 C
0.6368 0.9592 0.6776 C
0.4829 0.8333 0.6496 C
0.1175 0.7896 0.3279 C
0.9875 0.6737 0.3139 C
0.6393 0.6174 0.0219 C
0.5137 0.4966 0.0171 C
0.1541 0.4568 0.6973 C
```

## Properties
Crystal system: monoclinic
M_tot, Bohr magnetons per cell: 0.00
Space-group type: Cm, No. 8


It is A that is most stable; the runner-up trails by 37 meV/atom.


A | Material: CrOs2Au
Method: DFT, PBE
State: relaxed

```
CrOs2Au
1.0
3.8734 0.0000 0.0000
0.0000 3.8734 0.0000
0.0000 0.0000 3.8906
Au Cr Os
1 1 2
Direct
0.5000 0.0000 0.5000 Au
0.0000 0.5000 0.5000 Cr
0.0000 0.0000 0.0000 Os
0.5000 0.5000 0.0000 Os
```

## Properties
Crystal system: tetragonal
M_tot, Bohr magnetons per cell: 1.26
Space-group type: P4/mmm, No. 123


B | Material: CrOs2Au
Method: DFT, PBE
State: relaxed

```
CrOs2Au
1.0
-1.8004 -3.7013 -5.7236
6.7969 -1.4192 -1.2202
2.3103 -4.7020 -2.0278
Os Au Cr
4 2 2
Direct
0.5690 0.1250 0.2500 Os
0.1810 0.6250 0.2500 Os
0.3750 0.4310 0.7500 Os
0.8750 0.8190 0.7500 Os
0.0000 0.0000 0.0000 Au
0.7500 0.2500 0.5000 Au
0.5000 0.5000 0.0000 Cr
0.2500 0.7500 0.5000 Cr
```

## Properties
Crystal system: tetragonal
M_tot, Bohr magnetons per cell: 0.00
Space-group type: I-42d, No. 122


It is A that is most stable; the runner-up trails by 361 meV/atom.


A | Material: Be6Co
Method: DFT, PBE
State: relaxed

```
Be6Co
1.0
4.7680 0.0000 0.0000
-1.5893 4.4953 0.0000
-1.5893 -2.2477 3.8931
Be Co
6 1
Direct
0.2500 0.7500 0.5000 Be
0.5000 0.7500 0.2500 Be
0.2500 0.5000 0.7500 Be
0.7500 0.2500 0.5000 Be
0.5000 0.2500 0.7500 Be
0.7500 0.5000 0.2500 Be
0.0000 0.0000 0.0000 Co
```

## Properties
Crystal system: cubic
M_tot, Bohr magnetons per cell: 2.30
Space-group type: Im-3m, No. 229


B | Material: Be6Co
Method: DFT, PBE
State: relaxed

```
Be6Co
1.0
4.0588 0.0000 0.0000
0.0000 6.8988 0.0000
0.0000 0.0000 8.2107
Be Co
24 4
Direct
0.7500 0.5844 0.0126 Be
0.2500 0.4156 0.9874 Be
0.7500 0.0844 0.4874 Be
0.2500 0.9156 0.5126 Be
0.0097 0.4567 0.2063 Be
0.5097 0.5433 0.7937 Be
0.4903 0.9567 0.2937 Be
0.9903 0.0433 0.7063 Be
0.9903 0.5433 0.7937 Be
0.4903 0.4567 0.2063 Be
0.5097 0.0433 0.7063 Be
0.0097 0.9567 0.2937 Be
0.2500 0.1831 0.1497 Be
0.7500 0.8169 0.8503 Be
0.2500 0.6831 0.3503 Be
0.7500 0.3169 0.6497 Be
0.2500 0.7895 0.7438 Be
0.7500 0.2105 0.2562 Be
0.2500 0.2895 0.7562 Be
0.7500 0.7105 0.2438 Be
0.2500 0.5320 0.5718 Be
0.7500 0.4680 0.4282 Be
0.2500 0.0320 0.9282 Be
0.7500 0.9680 0.0718 Be
0.7500 0.2608 0.9199 Co
0.2500 0.7392 0.0801 Co
0.7500 0.7608 0.5801 Co
0.2500 0.2392 0.4199 Co
```

## Properties
Crystal system: orthorhombic
M_tot, Bohr magnetons per cell: 0.00
Space-group type: Pnma, No. 62


It is B that is most stable; the runner-up trails by 1455 meV/atom.